# 1
Density functional theory data (GGA-PBE) for Na4CdIn2Hg after structural relaxation.

Structure (POSCAR):
```
Na4CdIn2Hg
1.0
-4.2254 1.0856 -2.8089
-2.2772 -4.3187 1.7564
-2.7763 3.7522 5.6266
In Cd Hg Na
2 1 1 4
direct
0.5000 0.0000 0.2517
0.0000 0.5000 0.7483
0.0000 0.0000 0.5000
0.5000 0.5000 0.0000
0.0000 0.0000 0.0000
0.5000 0.5000 0.5000
0.0000 0.5000 0.2480
0.5000 0.0000 0.7520
```

Computed properties:
- Calculated volume: 24.6 A^3/atom
- SG: No. 115
- DFT total energy: -13.20 eV per cell

# 2
Density functional theory data (GGA-PBE) for CdInNiHg after structural relaxation.

Structure (POSCAR):
```
CdInNiHg
1.0
0.0000 3.3787 3.3787
3.3787 0.0000 3.3787
3.3787 3.3787 0.0000
Cd Hg Ni In
1 1 1 1
direct
0.5000 0.5000 0.5000
0.2500 0.2500 0.2500
0.7500 0.7500 0.7500
0.0000 0.0000 0.0000
```

Computed properties:
- Calculated volume: 19.3 A^3/atom
- SG: No. 216
- Magnetic moment: 0.0005 μB/atom
- DFT total energy: -8.70 eV per cell

# 3
Density functional theory data (GGA-PBE) for SrCdIn2Hg after structural relaxation.

Structure (POSCAR):
```
SrCdIn2Hg
1.0
0.5284 -7.0162 1.8932
-5.4340 -4.2675 2.3131
1.8261 4.7567 -5.2086
Hg Cd Sr In
1 1 1 2
direct
0.3953 0.3953 0.0000
0.6092 0.6092 0.0000
0.9966 0.9966 0.0000
0.2495 0.7495 0.5000
0.7495 0.2495 0.5000
```

Computed properties:
- Calculated volume: 28.1 A^3/atom
- SG: No. 107
- DFT total energy: -9.93 eV per cell

# 4
Density functional theory data (GGA-PBE) for CdHgIr2 after structural relaxation.

Structure (POSCAR):
```
CdHgIr2
1.0
0.0000 3.2670 3.2670
3.2670 0.0000 3.2670
3.2670 3.2670 0.0000
Ir Hg Cd
2 1 1
direct
0.2500 0.2500 0.2500
0.0000 0.0000 0.0000
0.7500 0.7500 0.7500
0.5000 0.5000 0.5000
```

Computed properties:
- Calculated volume: 17.4 A^3/atom
- SG: No. 216
- Magnetic moment: 0.3180 μB/atom
- Energy relative to the elements: 534.8 meV/atom

# 5
Density functional theory data (GGA-PBE) for CdHgIr after structural relaxation.

Structure (POSCAR):
```
CdHgIr
1.0
0.0000 3.1965 3.1965
3.1965 0.0000 3.1965
3.1965 3.1965 0.0000
Hg Cd Ir
1 1 1
direct
0.0000 0.0000 0.0000
0.2500 0.2500 0.2500
0.7500 0.7500 0.7500
```

Computed properties:
- Relative energy among the computed polymorphs: 0 meV/atom
- Calculated volume: 21.8 A^3/atom
- SG: No. 216
- Magnetic moment: 0.0007 μB/atom
- Energy relative to the elements: 660.6 meV/atom

# 6
Density functional theory data (GGA-PBE) for Cd2HgIr after structural relaxation.

Structure (POSCAR):
```
Cd2HgIr
1.0
-0.9963 -3.2010 3.3392
-4.5022 -1.0930 0.9614
-1.7188 -4.2360 -1.2210
Hg Cd Ir
1 2 1
direct
0.5000 0.5000 0.5000
0.7500 0.7500 0.7500
0.0000 0.0000 0.0000
0.2500 0.2500 0.2500
```

Computed properties:
- Calculated volume: 18.7 A^3/atom
- SG: No. 216
- Magnetic moment: 0.0001 μB/atom
- Energy relative to the elements: 253.6 meV/atom

# 7
Density functional theory data (GGA-PBE) for KCdHg after structural relaxation.

Structure (POSCAR):
```
KCdHg
1.0
0.0000 3.8190 3.8190
3.8190 0.0000 3.8190
3.8190 3.8190 0.0000
Hg Cd K
1 1 1
direct
0.0000 0.0000 0.0000
0.2500 0.2500 0.2500
0.7500 0.7500 0.7500
```

Computed properties:
- Relative energy among the computed polymorphs: 0 meV/atom
- Calculated volume: 37.1 A^3/atom
- SG: No. 216

# 8
Density functional theory data (GGA-PBE) for K2CdHg3 after structural relaxation.

Structure (POSCAR):
```
K2CdHg3
1.0
6.0776 -2.6412 0.0000
6.0776 2.6412 0.0000
-5.6096 0.0000 6.1389
Cd Hg K
1 3 2
direct
0.8349 0.8349 0.4027
0.1565 0.1565 0.5977
0.1674 0.1674 0.2261
0.8398 0.8398 0.7753
0.5566 0.5566 0.8076
0.4447 0.4447 0.1906
```

Computed properties:
- Calculated volume: 32.8 A^3/atom
- SG: No. 8
- DFT total energy: -5.39 eV per cell

# 9
Density functional theory data (GGA-PBE) for KCd2Hg2 after structural relaxation.

Structure (POSCAR):
```
KCd2Hg2
1.0
3.4275 -3.4275 0.0000
3.4275 3.4275 0.0000
-3.4275 0.0000 6.3823
Cd K Hg
2 1 2
direct
0.7500 0.2500 0.5000
0.2500 0.7500 0.5000
0.0000 0.0000 0.0000
0.6147 0.6147 0.2294
0.3853 0.3853 0.7706
```

Computed properties:
- Calculated volume: 30.0 A^3/atom
- SG: No. 139
- DFT total energy: -4.28 eV per cell

# 10
Density functional theory data (GGA-PBE) for K4Tl2CdHg after structural relaxation.

Structure (POSCAR):
```
K4Tl2CdHg
1.0
-0.4476 4.3581 -3.8459
2.0718 -3.4843 -4.1895
-7.6955 -2.3926 -1.8157
Tl K Hg Cd
2 4 1 1
direct
0.5000 0.0000 0.2471
0.0000 0.5000 0.7529
0.0000 0.0000 0.0000
0.5000 0.5000 0.5000
0.5000 0.0000 0.7474
0.0000 0.5000 0.2526
0.0000 0.0000 0.5000
0.5000 0.5000 0.0000
```

Computed properties:
- Calculated volume: 35.1 A^3/atom
- SG: No. 115
- DFT total energy: -10.81 eV per cell

# 11
Density functional theory data (GGA-PBE) for LaCdHg2 after structural relaxation.

Structure (POSCAR):
```
LaCdHg2
1.0
-2.1766 0.0216 2.9785
-2.9324 -0.6627 -2.1381
1.0869 -7.5488 0.8490
La Hg Cd
1 2 1
direct
0.0000 0.0000 0.5000
0.5000 0.5000 0.2291
0.5000 0.5000 0.7709
0.0000 0.0000 0.0000
```

Computed properties:
- Calculated volume: 26.1 A^3/atom
- SG: No. 123
- Magnetic moment: 0.0001 μB/atom
- Energy relative to the elements: -312.8 meV/atom

# 12
Density functional theory data (GGA-PBE) for LaCdHg2 after structural relaxation.

Structure (POSCAR):
```
LaCdHg2
1.0
7.4141 0.0000 0.0000
0.0000 5.2622 0.0000
0.0000 0.0000 10.5261
Cd La Hg
4 4 8
direct
0.2501 0.2500 0.1235
0.2499 0.2500 0.6235
0.7501 0.7500 0.3765
0.7499 0.7500 0.8765
0.7499 0.2500 0.6228
0.7501 0.2500 0.1228
0.2499 0.7500 0.8772
0.2501 0.7500 0.3772
0.9999 0.7500 0.6272
0.4999 0.2500 0.8728
0.5001 0.7500 0.1272
0.0000 0.7500 0.1273
0.4999 0.7500 0.6273
0.0001 0.2500 0.3728
0.5001 0.2500 0.3727
0.0000 0.2500 0.8727
```

Computed properties:
- Calculated volume: 25.7 A^3/atom
- SG: No. 59
- Magnetic moment: 0.0013 μB/atom
- Energy relative to the elements: -462.4 meV/atom

# 13
Density functional theory data (GGA-PBE) for LaCdHg2 after structural relaxation.

Structure (POSCAR):
```
LaCdHg2
1.0
4.9456 0.0000 0.0000
0.0000 4.9456 0.0000
0.0000 0.0000 4.4516
Hg La Cd
2 1 1
direct
0.5000 0.0000 0.5000
0.0000 0.5000 0.5000
0.5000 0.5000 0.0000
0.0000 0.0000 0.0000
```

Computed properties:
- Calculated volume: 27.2 A^3/atom
- SG: No. 123
- Magnetic moment: 0.0109 μB/atom
- Energy relative to the elements: -343.8 meV/atom

# 14
Density functional theory data (GGA-PBE) for LaCdHg2 after structural relaxation.

Structure (POSCAR):
```
LaCdHg2
1.0
5.3152 0.0000 0.0000
0.0000 7.6707 0.0000
0.0000 0.0000 9.9466
Hg La Cd
8 4 4
direct
0.7495 0.9914 0.1260
0.7495 0.5086 0.1260
0.2505 0.0086 0.8740
0.2495 0.4914 0.3740
0.7505 0.5086 0.6260
0.7505 0.9914 0.6260
0.2505 0.4914 0.8740
0.2495 0.0086 0.3740
0.7493 0.2500 0.3759
0.2493 0.7500 0.1241
0.7507 0.2500 0.8759
0.2507 0.7500 0.6241
0.2536 0.2500 0.6243
0.2464 0.2500 0.1243
0.7536 0.7500 0.8757
0.7464 0.7500 0.3757
```

Computed properties:
- Calculated volume: 25.3 A^3/atom
- SG: No. 62
- Magnetic moment: 0.0003 μB/atom
- Energy relative to the elements: -448.5 meV/atom

# 15
Density functional theory data (GGA-PBE) for LaCdHg2 after structural relaxation.

Structure (POSCAR):
```
LaCdHg2
1.0
-2.0362 2.0394 4.3917
5.9605 -2.2796 3.8221
7.1802 13.6938 -3.0300
Hg La Cd
12 6 6
direct
0.5001 0.2501 0.6667
0.9999 0.2499 0.1667
0.0001 0.7501 0.8333
0.5001 0.7499 0.6667
0.4999 0.7499 0.3333
0.0000 0.2503 0.5000
0.5000 0.2497 0.0000
0.4999 0.2501 0.3333
0.0001 0.2499 0.8333
0.5000 0.7503 0.0000
0.9999 0.7501 0.1667
0.0000 0.7497 0.5000
0.0000 0.0000 0.0000
0.0001 0.0000 0.6665
0.5000 0.5000 0.5000
0.5001 0.5000 0.8335
0.9999 0.0000 0.3335
0.4999 0.5000 0.1665
0.5001 0.0000 0.8331
0.0000 0.5000 0.6669
0.4999 0.0000 0.1669
0.5000 0.0000 0.5000
0.0000 0.5000 0.3331
0.0000 0.5000 0.0000
```

Computed properties:
- Calculated volume: 25.7 A^3/atom
- SG: No. 71
- Magnetic moment: 0.0006 μB/atom
- Energy relative to the elements: -462.4 meV/atom

# 16
Density functional theory data (GGA-PBE) for LiCd2Hg after structural relaxation.

Structure (POSCAR):
```
LiCd2Hg
1.0
3.7153 -0.7949 2.9892
1.3976 3.4464 3.0886
-0.7837 -0.5393 4.7398
Cd Li Hg
2 1 1
direct
0.7500 0.7500 0.7500
0.0000 0.0000 0.0000
0.5000 0.5000 0.5000
0.2500 0.2500 0.2500
```

Computed properties:
- Calculated volume: 20.0 A^3/atom
- SG: No. 216
- DFT total energy: -4.74 eV per cell

# 17
Density functional theory data (GGA-PBE) for Li2CdHg3 after structural relaxation.

Structure (POSCAR):
```
Li2CdHg3
1.0
3.3647 0.0000 0.0000
0.0000 3.3647 0.0000
0.0000 0.0000 10.5219
Cd Hg Li
1 3 2
direct
0.0000 0.0000 0.5000
0.5000 0.5000 0.3055
0.5000 0.5000 0.6945
0.5000 0.5000 0.0000
0.0000 0.0000 0.8436
0.0000 0.0000 0.1564
```

Computed properties:
- Relative energy among the computed polymorphs: 0 meV/atom
- Calculated volume: 19.9 A^3/atom
- SG: No. 123

# 18
Density functional theory data (GGA-PBE) for Li8Cd2Hg after structural relaxation.

Structure (POSCAR):
```
Li8Cd2Hg
1.0
3.9545 -2.2864 0.0000
3.9545 2.2864 0.0000
-2.6273 0.0000 10.3055
Li Hg Cd
8 1 2
direct
0.9109 0.9109 0.7329
0.3624 0.3624 0.0872
0.7288 0.7288 0.1861
0.2712 0.2712 0.8139
0.8208 0.8208 0.4619
0.6376 0.6376 0.9128
0.0891 0.0891 0.2671
0.1792 0.1792 0.5381
0.0000 0.0000 0.0000
0.4528 0.4528 0.3581
0.5472 0.5472 0.6419
```

Computed properties:
- Calculated volume: 16.9 A^3/atom
- SG: No. 12
- DFT total energy: -19.77 eV per cell

# 19
Density functional theory data (GGA-PBE) for Li6CdHg after structural relaxation.

Structure (POSCAR):
```
Li6CdHg
1.0
4.5366 0.0000 0.0000
0.0000 4.5366 0.0000
0.0000 0.0000 6.4132
Li Hg Cd
6 1 1
direct
0.5000 0.0000 0.2459
0.5000 0.0000 0.7541
0.0000 0.5000 0.2459
0.0000 0.0000 0.0000
0.0000 0.5000 0.7541
0.5000 0.5000 0.5000
0.5000 0.5000 0.0000
0.0000 0.0000 0.5000
```

Computed properties:
- Calculated volume: 16.5 A^3/atom
- SG: No. 123
- DFT total energy: -14.41 eV per cell

# 20
Density functional theory data (GGA-PBE) for LiCdHg after structural relaxation.

Structure (POSCAR):
```
LiCdHg
1.0
3.4704 0.0000 0.0000
0.0000 3.4704 0.0000
0.0000 0.0000 9.6211
Hg Cd Li
2 2 2
direct
0.5000 0.0000 0.5993
0.0000 0.5000 0.4007
0.5000 0.0000 0.9112
0.0000 0.5000 0.0888
0.5000 0.0000 0.2566
0.0000 0.5000 0.7434
```

Computed properties:
- Relative energy among the computed polymorphs: 9 meV/atom
- Calculated volume: 19.3 A^3/atom
- SG: No. 129

# 21
Density functional theory data (GGA-PBE) for LiCdHg after structural relaxation.

Structure (POSCAR):
```
LiCdHg
1.0
-1.7466 1.7466 4.7348
1.7466 -1.7466 4.7348
1.7466 1.7466 -4.7348
Li Hg Cd
1 1 1
direct
0.0041 0.0041 0.0000
0.6547 0.6547 0.0000
0.3412 0.3412 0.0000
```

Computed properties:
- Relative energy among the computed polymorphs: 0 meV/atom
- Calculated volume: 19.3 A^3/atom
- SG: No. 107

# 22
Density functional theory data (GGA-PBE) for LiCdHg2 after structural relaxation.

Structure (POSCAR):
```
LiCdHg2
1.0
2.3626 0.2044 4.3142
0.8988 4.3560 2.1103
-2.4293 1.3079 4.0772
Cd Hg Li
1 2 1
direct
0.2500 0.2500 0.2500
0.7500 0.7500 0.7500
0.0000 0.0000 0.0000
0.5000 0.5000 0.5000
```

Computed properties:
- Calculated volume: 21.1 A^3/atom
- SG: No. 216
- DFT total energy: -4.04 eV per cell

# 23
Density functional theory data (GGA-PBE) for LiCdHg after structural relaxation.

Structure (POSCAR):
```
LiCdHg
1.0
3.4644 0.0000 0.0000
0.0000 3.4644 0.0000
0.0000 0.0000 9.6428
Li Cd Hg
2 2 2
direct
0.5000 0.5000 0.5000
0.0000 0.0000 0.0000
0.0000 0.0000 0.6566
0.0000 0.0000 0.3434
0.5000 0.5000 0.8433
0.5000 0.5000 0.1567
```

Computed properties:
- Relative energy among the computed polymorphs: 7 meV/atom
- Calculated volume: 19.3 A^3/atom
- SG: No. 123

# 24
Density functional theory data (GGA-PBE) for Li2CdHg3 after structural relaxation.

Structure (POSCAR):
```
Li2CdHg3
1.0
-2.0461 -1.6092 2.3364
2.8094 -0.7486 1.9447
-1.0909 8.3328 4.7839
Hg Li Cd
3 2 1
direct
0.5000 0.5000 0.1589
0.0000 0.0000 0.6508
0.5000 0.5000 0.8459
0.5000 0.5000 0.5049
0.0000 0.0000 0.9993
0.0000 0.0000 0.3402
```

Computed properties:
- Relative energy among the computed polymorphs: 12 meV/atom
- Calculated volume: 19.7 A^3/atom
- SG: No. 99

# 25
Density functional theory data (GGA-PBE) for Li5CdHg4 after structural relaxation.

Structure (POSCAR):
```
Li5CdHg4
1.0
3.3311 0.0000 0.0000
0.0000 3.3311 0.0000
0.0000 0.0000 16.0777
Li Hg Cd
5 4 1
direct
0.5000 0.5000 0.1027
0.5000 0.5000 0.2995
0.5000 0.5000 0.7005
0.5000 0.5000 0.8973
0.5000 0.5000 0.5000
0.0000 0.0000 0.6006
0.0000 0.0000 0.3994
0.0000 0.0000 0.8012
0.0000 0.0000 0.1988
0.0000 0.0000 0.0000
```

Computed properties:
- Calculated volume: 17.8 A^3/atom
- SG: No. 123
- DFT total energy: -15.11 eV per cell

# 26
Density functional theory data (GGA-PBE) for LiYMg2Cd2Hg2 after structural relaxation.

Structure (POSCAR):
```
LiYMg2Cd2Hg2
1.0
4.9422 0.0000 0.0000
0.0000 4.9422 0.0000
0.0000 0.0000 7.1047
Y Hg Cd Mg Li
1 2 2 2 1
direct
0.5000 0.5000 0.0000
0.5000 0.0000 0.7353
0.0000 0.5000 0.2647
0.0000 0.5000 0.7281
0.5000 0.0000 0.2719
0.0000 0.0000 0.0000
0.5000 0.5000 0.5000
0.0000 0.0000 0.5000
```

Computed properties:
- Calculated volume: 21.7 A^3/atom
- SG: No. 115
- Magnetic moment: 0.0022 μB/atom
- DFT total energy: -16.34 eV per cell